AsPbW3 | PBE | optimized geometry

a = 5.016 Å, b = 5.016 Å, c = 5.016 Å
α = 90.00°, β = 90.00°, γ = 90.00°
Atoms (fractional coordinates):
As: 0.000 0.000 0.000
Pb: 0.500 0.500 0.500
W: 0.000 0.500 0.500
W: 0.500 0.000 0.500
W: 0.500 0.500 0.000

Computed properties:
VASP energy = -30.8 eV for the cell shown
SG = Pm-3m
Calculated density = 10971 kg/m³
Total magnetization = 0.00 μB per formula unit
Distance to the lowest polymorph of the same formula = 1704 meV per atom
Crystal system = cubic
E_form = 3.287 eV/atom